5
Lattice="-1.148 -0.059 -4.608 -3.180 -3.075 0.832 -3.159 3.467 0.742" Properties=species:S:1:pos:R:3 comment="CrWAu2O, relaxed, DFT GGA+U" dos_at_fermi_per_ev_atom=0.563 space_group=P4/mmm e_tot_ev_per_atom=-2.95 total_magnetization_mub_per_fu=0.000 pbc="T T T"
Cr 0.000 0.000 0.000
Au -0.574 -0.030 -2.304
Au -1.579 1.734 0.371
O -3.743 0.166 -1.517
W -1.590 -1.537 0.416